KZn2FeIr meta-GGA SCAN PBEsol geometry; symmetry = P4/mmm (123); ΔH_f (0 K) = 2352 meV per atom; E = -1.6586 Ry per atom
1.0
4.650 0.000 0.000
0.000 4.650 0.000
0.000 0.000 4.144
K Zn Fe Ir
1 2 1 1
direct
0.000 0.000 0.000
0.000 0.500 0.000
0.500 0.000 0.000
0.000 0.000 0.500
0.500 0.500 0.500

***

ScAl2Hg meta-GGA SCAN PBEsol geometry; symmetry = F-43m (216); ΔH_f (0 K) = -184 meV per atom; E = -1.8126 Ry per atom
1.0
0.000 3.349 3.349
3.349 0.000 3.349
3.349 3.349 0.000
Sc Al Hg
1 2 1
direct
0.000 0.000 0.000
0.500 0.500 0.500
0.750 0.750 0.750
0.250 0.250 0.250

***

MgTe2N meta-GGA SCAN PBEsol geometry; symmetry = R-3m (166); formation energy from raw total energies = 3.360 eV per formula unit; E = -1.5693 Ry per atom; relative energy among the computed polymorphs = 407.1 meV/atom
1.0
1.631 0.942 9.202
-1.631 0.942 9.202
0.000 -1.884 9.202
Mg Te N
1 2 1
direct
0.000 0.000 0.000
0.108 0.108 0.108
0.892 0.892 0.892
0.500 0.500 0.500

***

TaNi2Ru meta-GGA SCAN PBEsol geometry; symmetry = Fm-3m (225); ΔH_f (0 K) = -1 meV per atom; E = -2.4578 Ry per atom; relative energy among the computed polymorphs = 333.2 meV/atom
1.0
0.000 2.953 2.953
2.953 0.000 2.953
2.953 2.953 0.000
Ta Ni Ru
1 2 1
direct
0.000 0.000 0.000
0.250 0.250 0.250
0.750 0.750 0.750
0.500 0.500 0.500

***

TaCo5 meta-GGA SCAN PBEsol geometry; symmetry = P-62m (189); ΔH_f (0 K) = 72 meV per atom; E = -1.8702 Ry per atom
1.0
4.405 0.000 0.000
-2.203 3.815 0.000
0.000 0.000 4.000
Ta Co
1 5
direct
0.000 0.000 0.000
0.000 0.634 0.500
0.333 0.667 0.000
0.366 0.366 0.500
0.634 0.000 0.500
0.667 0.333 0.000

***

MgCu2O3 meta-GGA SCAN PBEsol geometry; symmetry = Pmmn (59); formation energy from raw total energies = -8.698 eV per formula unit; E = -0.7688 Ry per atom
1.0
4.010 0.000 0.000
0.000 9.302 0.000
0.000 0.000 3.176
Mg Cu O
2 4 6
direct
0.250 0.250 0.126
0.750 0.750 0.874
0.250 0.586 0.333
0.250 0.914 0.333
0.750 0.086 0.667
0.750 0.414 0.667
0.250 0.095 0.619
0.250 0.405 0.619
0.250 0.750 0.982
0.750 0.250 0.018
0.750 0.595 0.381
0.750 0.905 0.381

***

Cs2KNa meta-GGA SCAN PBEsol geometry; symmetry = Fm-3m (225); ΔH_f (0 K) = 28 meV per atom; E = -1.6179 Ry per atom
1.0
0.000 5.322 5.322
5.322 0.000 5.322
5.322 5.322 0.000
Cs K Na
2 1 1
direct
0.250 0.250 0.250
0.750 0.750 0.750
0.000 0.000 0.000
0.500 0.500 0.500

***

Cd3WO meta-GGA SCAN PBEsol geometry; symmetry = Pm-3m (221); formation energy from raw total energies = 3.624 eV per formula unit; E = -2.4040 Ry per atom
1.0
4.459 0.000 0.000
0.000 4.459 0.000
0.000 0.000 4.459
Cd W O
3 1 1
direct
0.000 0.000 0.500
0.000 0.500 0.000
0.500 0.000 0.000
0.500 0.500 0.500
0.000 0.000 0.000

***

KCr2Tc meta-GGA SCAN PBEsol geometry; symmetry = I-4m2 (119); ΔH_f (0 K) = 1413 meV per atom; E = -1.3690 Ry per atom; relative energy among the computed polymorphs = 745.2 meV/atom
1.0
-1.874 1.874 4.786
1.874 -1.874 4.786
1.874 1.874 -4.786
K Cr Tc
1 2 1
direct
0.000 0.000 0.000
0.250 0.750 0.500
0.500 0.500 0.000
0.750 0.250 0.500

***

WSeCl2 meta-GGA SCAN PBEsol geometry; symmetry = Cmmm (65); formation energy from raw total energies = 4.815 eV per formula unit; E = -1.8541 Ry per atom; relative energy among the computed polymorphs = 1671.1 meV/atom
1.0
2.830 -4.165 0.000
2.830 4.165 0.000
0.000 0.000 2.868
W Se Cl
1 1 2
direct
0.000 0.000 0.000
0.500 0.500 0.000
0.000 0.500 0.500
0.500 0.000 0.500

***

RbAlF4 meta-GGA SCAN PBEsol geometry; symmetry = P4/mmm (123); formation energy from raw total energies = -21.722 eV per formula unit; E = -0.7886 Ry per atom
1.0
3.663 0.000 0.000
0.000 3.663 0.000
0.000 0.000 6.263
Rb Al F
1 1 4
direct
0.000 0.000 0.000
0.500 0.500 0.500
0.000 0.500 0.500
0.500 0.000 0.500
0.500 0.500 0.217
0.500 0.500 0.783

***

Ta2Cd meta-GGA SCAN PBEsol geometry; symmetry = Cmcm (63); ΔH_f (0 K) = 344 meV per atom; E = -3.9824 Ry per atom
1.0
1.525 -7.346 0.000
1.525 7.346 0.000
0.000 0.000 4.896
Ta Cd
4 2
direct
0.073 0.927 0.750
0.266 0.734 0.250
0.734 0.266 0.750
0.927 0.073 0.250
0.402 0.598 0.750
0.598 0.402 0.250

***

Sc2Co meta-GGA SCAN PBEsol geometry; symmetry = Cmc2_1 (36); ΔH_f (0 K) = -142 meV per atom; E = -1.1320 Ry per atom
1.0
1.590 -5.666 0.000
1.590 5.666 0.000
0.000 0.000 6.050
Sc Co
4 2
direct
0.023 0.977 0.500
0.284 0.716 0.331
0.716 0.284 0.831
0.977 0.023 0.000
0.381 0.619 0.714
0.619 0.381 0.214

***

Mn2AsBr meta-GGA SCAN PBEsol geometry; symmetry = P-6m2 (187); formation energy from raw total energies = -1.924 eV per formula unit; E = -1.4348 Ry per atom; relative energy among the computed polymorphs = 0.0 meV/atom
1.0
3.656 0.000 0.000
-1.828 3.166 0.000
0.000 0.000 6.446
Mn As Br
2 1 1
direct
0.000 0.000 0.210
0.000 0.000 0.790
0.333 0.667 0.000
0.667 0.333 0.500

***

TlB3Mo meta-GGA SCAN PBEsol geometry; symmetry = Pm-3m (221); ΔH_f (0 K) = 1316 meV per atom; E = -1.8074 Ry per atom
1.0
4.266 0.000 0.000
0.000 4.266 0.000
0.000 0.000 4.266
Tl B Mo
1 3 1
direct
0.000 0.000 0.000
0.000 0.500 0.500
0.500 0.000 0.500
0.500 0.500 0.000
0.500 0.500 0.500

***

RbIn2PI meta-GGA SCAN PBEsol geometry; symmetry = P4/mmm (123); formation energy from raw total energies = 4.387 eV per formula unit; E = -1.9149 Ry per atom
1.0
6.480 0.000 0.000
0.000 6.480 0.000
0.000 0.000 5.161
Rb In P I
1 2 1 1
direct
0.000 0.000 0.000
0.000 0.500 0.000
0.500 0.000 0.000
0.000 0.000 0.500
0.500 0.500 0.500

***

CsTc3Te meta-GGA SCAN PBEsol geometry; symmetry = Pm-3m (221); formation energy from raw total energies = 15.392 eV per formula unit; E = -2.4232 Ry per atom
1.0
4.914 0.000 0.000
0.000 4.914 0.000
0.000 0.000 4.914
Cs Tc Te
1 3 1
direct
0.000 0.000 0.000
0.000 0.000 0.500
0.000 0.500 0.000
0.500 0.000 0.000
0.500 0.500 0.500

***

CsMgO2F meta-GGA SCAN PBEsol geometry; symmetry = P4/mmm (123); formation energy from raw total energies = -1.125 eV per formula unit; E = -0.8807 Ry per atom
1.0
4.384 0.000 0.000
0.000 4.384 0.000
0.000 0.000 5.121
Cs Mg O F
1 1 2 1
direct
0.000 0.000 0.000
0.500 0.500 0.500
0.000 0.500 0.000
0.500 0.000 0.000
0.000 0.000 0.500

***

Cd2Sn2Bi meta-GGA SCAN PBEsol geometry; symmetry = P4/mbm (127); ΔH_f (0 K) = 133 meV per atom; E = -3.0956 Ry per atom; relative energy among the computed polymorphs = 0.0 meV/atom
1.0
8.918 0.000 0.000
0.000 8.918 0.000
0.000 0.000 3.260
Cd Sn Bi
4 4 2
direct
0.119 0.381 0.000
0.381 0.881 0.000
0.619 0.119 0.000
0.881 0.619 0.000
0.180 0.680 0.500
0.320 0.180 0.500
0.680 0.820 0.500
0.820 0.320 0.500
0.000 0.000 0.500
0.500 0.500 0.500

***

LiMgCu2 meta-GGA SCAN PBEsol geometry; symmetry = I4/mmm (139); ΔH_f (0 K) = -40 meV per atom; E = -0.6968 Ry per atom
1.0
-1.889 1.889 3.793
1.889 -1.889 3.793
1.889 1.889 -3.793
Li Mg Cu
1 1 2
direct
0.000 0.000 0.000
0.500 0.500 0.000
0.250 0.750 0.500
0.750 0.250 0.500